The following is a PBE with a Hubbard U calculation of an optimized crystal structure of Pr2MnBiO6, from the Alexandria database.

Symmetry: P4mm, No. 99
Final energy: -7.22 eV/atom

Lattice parameters (Å, degrees): 5.434 5.434 5.426 90.00 90.00 90.00
Atoms (fractional coordinates):
Pr 0.000 0.500 0.000
Pr 0.500 0.000 0.000
Mn 0.000 0.000 0.614
Bi 0.500 0.500 0.545
O 0.000 0.000 0.218
O 0.239 0.239 0.733
O 0.239 0.761 0.733
O 0.500 0.500 0.120
O 0.761 0.239 0.733
O 0.761 0.761 0.733